(1)
VASP calculation (PBE-GGA) on an optimized crystal structure of RbCaHgS2.

Summary:
Energy: -32.64 eV per cell

abc: 5.883 7.811 7.635
angles: 100.91 90.00 90.00
Element x y z (fractional)
Rb 0.223 0.500 0.750
Rb 0.777 0.500 0.250
Ca 0.488 0.000 0.250
Ca 0.512 0.000 0.750
Hg 0.000 0.000 0.000
Hg 0.000 0.000 0.500
S 0.661 0.771 0.961
S 0.661 0.229 0.539
S 0.339 0.771 0.461
S 0.339 0.229 0.039

(2)
VASP calculation (PBE-GGA) on an optimized crystal structure of RbCaHgSb.

Summary:
Energy: -9.41 eV per cell

abc: 5.735 5.735 5.735
angles: 60.00 60.00 60.00
Element x y z (fractional)
Sb 0.000 0.000 0.000
Ca 0.750 0.750 0.750
Hg 0.500 0.500 0.500
Rb 0.250 0.250 0.250

(3)
VASP calculation (PBE-GGA) on an optimized crystal structure of Rb2CaHgSb2.

Summary:
Energy: -31.60 eV per cell

abc: 7.167 7.476 10.028
angles: 111.89 110.94 90.00
Element x y z (fractional)
Rb 0.443 0.175 0.350
Rb 0.557 0.825 0.650
Rb 0.094 0.325 0.650
Rb 0.906 0.675 0.350
Ca 0.000 0.750 0.000
Ca 0.000 0.250 0.000
Hg 0.500 0.750 0.000
Hg 0.500 0.250 0.000
Sb 0.840 0.100 0.199
Sb 0.359 0.600 0.199
Sb 0.641 0.400 0.801
Sb 0.160 0.900 0.801

(4)
VASP calculation (PBE-GGA) on an optimized crystal structure of RbCaHgTe2.

Summary:
Energy: -27.13 eV per cell

abc: 5.925 7.986 8.650
angles: 98.34 90.00 90.00
Element x y z (fractional)
Rb 0.109 0.500 0.750
Rb 0.891 0.500 0.250
Ca 0.484 0.000 0.250
Ca 0.516 0.000 0.750
Hg 0.000 0.000 0.000
Hg 0.000 0.000 0.500
Te 0.636 0.731 0.970
Te 0.636 0.269 0.530
Te 0.364 0.731 0.470
Te 0.364 0.269 0.030

(5)
VASP calculation (PBE-GGA) on an optimized crystal structure of Rb2CaTiHg.

Summary:
E_form: 1168 meV/atom

abc: 7.393 5.811 7.393
angles: 90.00 90.00 90.00
Element x y z (fractional)
Ca 0.000 0.000 0.000
Hg 0.000 0.500 0.000
Rb 0.000 0.000 0.500
Rb 0.500 0.000 0.000
Ti 0.500 0.500 0.500

(6)
VASP calculation (PBE-GGA) on an optimized crystal structure of Ca2ReHg.

Summary:
E_form: 414 meV/atom

abc: 5.248 3.025 5.733
angles: 89.90 90.00 90.00
Element x y z (fractional)
Re 0.500 0.625 0.790
Ca 0.000 0.123 0.939
Ca 0.500 0.127 0.304
Hg 0.000 0.625 0.467